The following is a PBEsol calculation of an optimized crystal structure of YCdAg2S, from Alexandria via LeMat-Bulk.

Computed properties:
Final energy, eV per atom: -3.540
D(E_F), states/eV/cell: 2.59

```
data_YCdAg2S
_cell_length_a 4.984
_cell_length_b 4.984
_cell_length_c 4.926
_cell_angle_alpha 90.00
_cell_angle_beta 90.00
_cell_angle_gamma 90.00
_symmetry_space_group_name_H-M 'P 4/m m m'
_symmetry_Int_Tables_number 123
_symmetry_space_group_name_Hall '-P 4 2'
loop_
_atom_site_label
_atom_site_type_symbol
_atom_site_fract_x
_atom_site_fract_y
_atom_site_fract_z
_atom_site_occupancy
Y1 Y 0.000 0.000 0.000 1
Cd1 Cd 0.500 0.500 0.500 1
Ag1 Ag 0.000 0.500 0.500 1
S1 S 0.500 0.500 0.000 1
```

The following is a PBEsol calculation of an optimized crystal structure of Rb2FeSbTe, from Alexandria via LeMat-Bulk.

Computed properties:
Final energy, eV per atom: -3.439
D(E_F), states/eV/cell: 8.30

```
data_Rb2FeSbTe
_cell_length_a 6.562
_cell_length_b 6.562
_cell_length_c 4.718
_cell_angle_alpha 90.00
_cell_angle_beta 90.00
_cell_angle_gamma 90.00
_symmetry_space_group_name_H-M 'P 4/m m m'
_symmetry_Int_Tables_number 123
_symmetry_space_group_name_Hall '-P 4 2'
loop_
_atom_site_label
_atom_site_type_symbol
_atom_site_fract_x
_atom_site_fract_y
_atom_site_fract_z
_atom_site_occupancy
Rb1 Rb 0.000 0.500 0.000 1
Fe1 Fe 0.000 0.000 0.000 1
Sb1 Sb 0.500 0.500 0.500 1
Te1 Te 0.000 0.000 0.500 1
```

Across the entries above, energy relative to the elements, uncorrected takes the values 0.265 0.381 eV/atom, respectively.